## La2CuSb (PBE-GGA)

Data for a relaxed structure of La2CuSb.

As for the total magnetization: 0.0 μB/f.u. The uncorrected formation energy comes out at -0.57 eV/atom.

The structure belongs to space group Imm2 (No. 44); the cell edges are 4.073, 4.879 and 10.758 Å and the angles 90.00°, 90.00° and 90.00°. The asymmetric unit holds La at (0.000, 0.000, 0.000), La at (0.000, 0.500, 0.221), Cu at (0.000, 0.000, 0.462) and Sb at (0.000, 0.500, 0.785).

## LaCu2Sb (PBE-GGA)

Data for a relaxed structure of LaCu2Sb.

As for the total magnetization: 0.0 μB/f.u. The uncorrected formation energy comes out at -0.22 eV/atom.

The structure belongs to space group I-42d (No. 122); the cell edges are 4.716, 4.716 and 17.925 Å and the angles 90.00°, 90.00° and 90.00°. The asymmetric unit holds La at (0.000, 0.000, 0.000), Cu at (0.055, 0.250, 0.625) and Sb at (0.000, 0.000, 0.500).

## LaCu3Sb (PBE-GGA)

Data for a relaxed structure of LaCu3Sb.

As for the total magnetization: 0.0 μB/f.u. The uncorrected formation energy comes out at 0.23 eV/atom. As for the energy above the most stable polymorph in this dataset: 0 meV per atom.

The structure belongs to space group Pm-3m (No. 221); the cell edges are 4.872, 4.872 and 4.872 Å and the angles 90.00°, 90.00° and 90.00°. The asymmetric unit holds La at (0.000, 0.000, 0.000), Cu at (0.000, 0.500, 0.500) and Sb at (0.500, 0.500, 0.500).